Entry from Alexandria via LeMat-Bulk: crystalline Pb2WO6 at its relaxed geometry (PBE with a Hubbard U).

Cell lengths 5.124, 5.124, 10.288 Å; angles 90.00, 90.00, 90.00 degrees
Fractional positions:
O1 0.320 0.320 0.642
O2 0.274 0.274 0.000
O3 0.680 0.680 0.358
O4 0.820 0.180 0.142
O5 0.726 0.726 0.000
O6 0.180 0.820 0.142
O7 0.180 0.820 0.858
O8 0.320 0.320 0.358
O9 0.820 0.180 0.858
O10 0.774 0.226 0.500
O11 0.680 0.680 0.642
O12 0.226 0.774 0.500
Pb1 0.000 0.000 0.664
Pb2 0.500 0.500 0.836
Pb3 0.000 0.000 0.336
Pb4 0.500 0.500 0.164
W1 0.500 0.500 0.500
W2 0.000 0.000 0.000

Calculated values
- Space-group type: P4_2/mnm (136)
- DOS(E_F): 8.6 states/eV/cell
- Uncorrected energy: -6.29 eV per atom
- Crystal system: tetragonal